Here is a relaxed structure of HfScSn2Au2 from OQMD via LeMat-Bulk. Energies are from PBE.

**Space-group type**: P3m1
**Electronic total energy**: -0.2067 hartree per atom

abc: 4.6463 4.6463 6.7788
angles: 90.00 90.00 120.00
Atoms (fractional coordinates):
Hf  0.0000  0.0000  0.0000
Sc  0.0000  0.0000  0.5002
Sn  0.3333  0.6667  0.2455
Sn  0.6667  0.3333  0.7354
Au  0.3333  0.6667  0.8315
Au  0.6667  0.3333  0.3182


Here is a relaxed structure of Hf3AuSe5 from OQMD via LeMat-Bulk. Energies are from PBE.

**Space-group type**: P6/mmm
**Electronic total energy**: -0.2296 hartree per atom

abc: 6.1987 6.1987 7.1755
angles: 90.00 90.00 120.00
Atoms (fractional coordinates):
Hf  0.0000  0.5000  0.0000
Hf  0.5000  0.0000  0.0000
Hf  0.5000  0.5000  0.0000
Au  0.0000  0.0000  0.5000
Se  0.0000  0.0000  0.0000
Se  0.3333  0.6667  0.2705
Se  0.3333  0.6667  0.7295
Se  0.6667  0.3333  0.2705
Se  0.6667  0.3333  0.7295


Here is a relaxed structure of HfTlAu3Se4 from OQMD via LeMat-Bulk. Energies are from PBE.

**Space-group type**: P-43m
**Electronic total energy**: -0.1639 hartree per atom

abc: 6.4056 6.4056 6.4056
angles: 90.00 90.00 90.00
Atoms (fractional coordinates):
Hf  0.0000  0.0000  0.0000
Tl  0.5000  0.5000  0.5000
Au  0.0000  0.0000  0.5000
Au  0.0000  0.5000  0.0000
Au  0.5000  0.0000  0.0000
Se  0.2285  0.2285  0.7715
Se  0.2285  0.7715  0.2285
Se  0.7715  0.2285  0.2285
Se  0.7715  0.7715  0.7715


Here is a relaxed structure of HfSiAu from OQMD via LeMat-Bulk. Energies are from PBE.

**Space-group type**: F-43m
**Electronic total energy**: -0.2364 hartree per atom

abc: 4.3555 4.3555 4.3555
angles: 60.00 60.00 60.00
Atoms (fractional coordinates):
Hf  0.0000  0.0000  0.0000
Si  0.7500  0.7500  0.7500
Au  0.5000  0.5000  0.5000


Q: What is the electronic total energy in the third record?
A: -0.1639 hartree per atom


Q: What is the formula in the first record?
A: HfScSn2Au2


Q: Which of these has the lowest electronic total energy?
A: HfSiAu


Q: What is the electronic total energy in the third record?
A: -0.1639 hartree per atom